## CuAuSe (PBE)

Data for crystalline CuAuSe at its relaxed geometry.

Results
- ΔE_f (raw) (meV/atom) = 204.1
- calculated volume (Å³/f.u.) = 55
- size of the total moment (μB/cell) = 0.0

Cell: 4.715 4.715 2.852 Å, 90.00 90.00 120.00°
Atoms (fractional coordinates):
Cu  0.667  0.333  0.667
Au  0.000  0.000  0.666
Se  0.333  0.667  0.667

---

## HfH4Rh (PBE)

Data for crystalline HfH4Rh at its relaxed geometry.

Results
- calculated volume (Å³/f.u.) = 47
- size of the total moment (μB/cell) = 0.0
- DFT total energy (eV/atom) = -5.401

Cell: 3.501 6.464 4.309 Å, 90.00 90.00 105.84°
Atoms (fractional coordinates):
Hf  0.835  0.668  0.750
Hf  0.165  0.332  0.250
H  0.920  0.841  0.250
H  0.298  0.595  0.513
H  0.443  0.880  0.750
H  0.557  0.120  0.250
H  0.702  0.405  0.487
H  0.298  0.595  0.987
H  0.080  0.159  0.750
H  0.702  0.405  0.013
Rh  0.580  0.158  0.750
Rh  0.420  0.842  0.250

---

Question: What is the formula in the second record?
Answer: HfH4Rh